Material: Ba3Pd4Pt2
Method: DFT, GGA-PBE
State: relaxed

CIF file:
```
data_Ba3Pd4Pt2
_chemical_formula_sum 'Ba6 Pd8 Pt4'
_symmetry_space_group_name_H-M 'P 1'
_symmetry_Int_Tables_number 1
_cell_length_a 4.5002
_cell_length_b 4.5002
_cell_length_c 27.3892
_cell_angle_alpha 90.00
_cell_angle_beta 90.00
_cell_angle_gamma 120.00
loop_
_symmetry_equiv_pos_as_xyz
'x,y,z'
loop_
_atom_site_label
_atom_site_type_symbol
_atom_site_fract_x
_atom_site_fract_y
_atom_site_fract_z
Ba1 Ba 0.0000 0.0000 0.0831
Ba2 Ba 0.0000 0.0000 0.2508
Ba3 Ba 0.0000 0.0000 0.4163
Ba4 Ba 0.0000 0.0000 0.5837
Ba5 Ba 0.0000 0.0000 0.7492
Ba6 Ba 0.0000 0.0000 0.9169
Pd1 Pd 0.3333 0.6667 0.1675
Pd2 Pd 0.3333 0.6667 0.3337
Pd3 Pd 0.3333 0.6667 0.5000
Pd4 Pd 0.3333 0.6667 0.6663
Pd5 Pd 0.3333 0.6667 0.8325
Pd6 Pd 0.6667 0.3333 0.1674
Pd7 Pd 0.6667 0.3333 0.5000
Pd8 Pd 0.6667 0.3333 0.8326
Pt1 Pt 0.3333 0.6667 0.0000
Pt2 Pt 0.6667 0.3333 0.0000
Pt3 Pt 0.6667 0.3333 0.3337
Pt4 Pt 0.6667 0.3333 0.6663
```

## Properties
- ΔH_f (0 K) (eV per atom) = -0.55
- total magnetic moment (μB per formula unit) = 0.00
- D(E_F) (states/eV/atom) = 0.30
- space group = P-6m2, No. 187
- calculated total energy (eV per atom) = -4.8370
- volume (Å³/atom) = 26.7
- crystal system = hexagonal

Material: BaPdPt
Method: DFT, GGA-PBE
State: relaxed

CIF file:
```
data_BaPdPt
_chemical_formula_sum 'Ba4 Pd4 Pt4'
_symmetry_space_group_name_H-M 'P 1'
_symmetry_Int_Tables_number 1
_cell_length_a 6.5812
_cell_length_b 6.4922
_cell_length_c 8.2147
_cell_angle_alpha 90.00
_cell_angle_beta 119.75
_cell_angle_gamma 90.00
loop_
_symmetry_equiv_pos_as_xyz
'x,y,z'
loop_
_atom_site_label
_atom_site_type_symbol
_atom_site_fract_x
_atom_site_fract_y
_atom_site_fract_z
Ba1 Ba 0.2073 0.1224 0.3970
Ba2 Ba 0.2073 0.3776 0.8970
Ba3 Ba 0.7927 0.6224 0.1030
Ba4 Ba 0.7927 0.8776 0.6030
Pd1 Pd 0.2111 0.6231 0.5589
Pd2 Pd 0.2111 0.8769 0.0589
Pd3 Pd 0.7889 0.1231 0.9411
Pd4 Pd 0.7889 0.3769 0.4411
Pt1 Pt 0.3810 0.5918 0.3232
Pt2 Pt 0.3810 0.9082 0.8232
Pt3 Pt 0.6190 0.0918 0.1768
Pt4 Pt 0.6190 0.4082 0.6768
```

## Properties
- ΔH_f (0 K) (eV per atom) = -0.47
- distance to the lowest polymorph of the same formula (eV/f.u.) = 0.589
- total magnetic moment (μB per formula unit) = 0.00
- D(E_F) (states/eV/atom) = 0.83
- space group = P2_1/c, No. 14
- calculated total energy (eV per atom) = -4.8545
- volume (Å³/atom) = 25.4
- crystal system = monoclinic

Material: Ba2Pd2Pt
Method: DFT, GGA-PBE
State: relaxed

CIF file:
```
data_Ba2Pd2Pt
_chemical_formula_sum 'Ba4 Pd4 Pt2'
_symmetry_space_group_name_H-M 'P 1'
_symmetry_Int_Tables_number 1
_cell_length_a 5.8009
_cell_length_b 5.8009
_cell_length_c 8.9466
_cell_angle_alpha 100.73
_cell_angle_beta 100.73
_cell_angle_gamma 62.72
loop_
_symmetry_equiv_pos_as_xyz
'x,y,z'
loop_
_atom_site_label
_atom_site_type_symbol
_atom_site_fract_x
_atom_site_fract_y
_atom_site_fract_z
Ba1 Ba 0.0232 0.2817 0.1556
Ba2 Ba 0.2817 0.0232 0.6556
Ba3 Ba 0.7183 0.9768 0.3444
Ba4 Ba 0.9768 0.7183 0.8444
Pd1 Pd 0.2495 0.5011 0.4976
Pd2 Pd 0.4989 0.7505 0.0024
Pd3 Pd 0.5011 0.2495 0.9976
Pd4 Pd 0.7505 0.4989 0.5024
Pt1 Pt 0.3578 0.6422 0.2500
Pt2 Pt 0.6422 0.3578 0.7500
```

## Properties
- ΔH_f (0 K) (eV per atom) = -0.57
- distance to the lowest polymorph of the same formula (eV/f.u.) = 0.139
- total magnetic moment (μB per formula unit) = 0.00
- D(E_F) (states/eV/atom) = 0.43
- space group = C2/c, No. 15
- calculated total energy (eV per atom) = -4.6269
- volume (Å³/atom) = 26.1
- crystal system = monoclinic

Material: Ba3Pd3Pt
Method: DFT, GGA-PBE
State: relaxed

CIF file:
```
data_Ba3Pd3Pt
_chemical_formula_sum 'Ba6 Pd6 Pt2'
_symmetry_space_group_name_H-M 'P 1'
_symmetry_Int_Tables_number 1
_cell_length_a 6.2471
_cell_length_b 6.2471
_cell_length_c 15.5584
_cell_angle_alpha 97.05
_cell_angle_beta 97.05
_cell_angle_gamma 42.69
loop_
_symmetry_equiv_pos_as_xyz
'x,y,z'
loop_
_atom_site_label
_atom_site_type_symbol
_atom_site_fract_x
_atom_site_fract_y
_atom_site_fract_z
Ba1 Ba 0.0757 0.0757 0.1156
Ba2 Ba 0.1254 0.1254 0.4238
Ba3 Ba 0.1812 0.1812 0.7343
Ba4 Ba 0.8188 0.8188 0.2657
Ba5 Ba 0.8746 0.8746 0.5762
Ba6 Ba 0.9243 0.9243 0.8844
Pd1 Pd 0.2217 0.2217 0.9577
Pd2 Pd 0.4183 0.4183 0.4237
Pd3 Pd 0.4763 0.4763 0.7307
Pd4 Pd 0.5237 0.5237 0.2693
Pd5 Pd 0.5817 0.5817 0.5763
Pd6 Pd 0.7783 0.7783 0.0423
Pt1 Pt 0.3683 0.3683 0.1180
Pt2 Pt 0.6317 0.6317 0.8820
```

## Properties
- ΔH_f (0 K) (eV per atom) = -0.54
- total magnetic moment (μB per formula unit) = 0.00
- D(E_F) (states/eV/atom) = 0.39
- space group = C2/m, No. 12
- calculated total energy (eV per atom) = -4.4563
- volume (Å³/atom) = 29.2
- crystal system = monoclinic

Material: Ba8Pd3Pt
Method: DFT, GGA-PBE
State: relaxed

CIF file:
```
data_Ba8Pd3Pt
_chemical_formula_sum 'Ba8 Pd3 Pt1'
_symmetry_space_group_name_H-M 'P 1'
_symmetry_Int_Tables_number 1
_cell_length_a 9.1693
_cell_length_b 9.1693
_cell_length_c 9.1857
_cell_angle_alpha 118.99
_cell_angle_beta 118.99
_cell_angle_gamma 61.00
loop_
_symmetry_equiv_pos_as_xyz
'x,y,z'
loop_
_atom_site_label
_atom_site_type_symbol
_atom_site_fract_x
_atom_site_fract_y
_atom_site_fract_z
Ba1 Ba 0.2416 0.2416 0.2527
Ba2 Ba 0.2416 0.7476 0.7586
Ba3 Ba 0.2524 0.7584 0.2414
Ba4 Ba 0.2565 0.2565 0.7433
Ba5 Ba 0.7435 0.7435 0.2567
Ba6 Ba 0.7476 0.2416 0.7586
Ba7 Ba 0.7584 0.2524 0.2414
Ba8 Ba 0.7584 0.7584 0.7473
Pd1 Pd 0.0000 0.5000 0.5000
Pd2 Pd 0.5000 0.0000 0.5000
Pd3 Pd 0.5000 0.5000 0.0000
Pt1 Pt 0.0000 0.0000 0.0000
```

## Properties
- ΔH_f (0 K) (eV per atom) = -0.48
- total magnetic moment (μB per formula unit) = 0.00
- D(E_F) (states/eV/atom) = 0.34
- space group = C2/m, No. 12
- calculated total energy (eV per atom) = -3.5654
- volume (Å³/atom) = 46.5
- crystal system = monoclinic

Material: Ba3Pd2Pt4
Method: DFT, GGA-PBE
State: relaxed

CIF file:
```
data_Ba3Pd2Pt4
_chemical_formula_sum 'Ba6 Pd4 Pt8'
_symmetry_space_group_name_H-M 'P 1'
_symmetry_Int_Tables_number 1
_cell_length_a 4.4764
_cell_length_b 4.4764
_cell_length_c 27.6017
_cell_angle_alpha 90.00
_cell_angle_beta 90.00
_cell_angle_gamma 120.00
loop_
_symmetry_equiv_pos_as_xyz
'x,y,z'
loop_
_atom_site_label
_atom_site_type_symbol
_atom_site_fract_x
_atom_site_fract_y
_atom_site_fract_z
Ba1 Ba 0.0000 0.0000 0.0832
Ba2 Ba 0.0000 0.0000 0.2499
Ba3 Ba 0.0000 0.0000 0.4159
Ba4 Ba 0.0000 0.0000 0.5841
Ba5 Ba 0.0000 0.0000 0.7501
Ba6 Ba 0.0000 0.0000 0.9168
Pd1 Pd 0.3333 0.6667 0.5000
Pd2 Pd 0.6667 0.3333 0.1667
Pd3 Pd 0.6667 0.3333 0.5000
Pd4 Pd 0.6667 0.3333 0.8333
Pt1 Pt 0.3333 0.6667 0.0000
Pt2 Pt 0.3333 0.6667 0.1667
Pt3 Pt 0.3333 0.6667 0.3333
Pt4 Pt 0.3333 0.6667 0.6667
Pt5 Pt 0.3333 0.6667 0.8333
Pt6 Pt 0.6667 0.3333 0.0000
Pt7 Pt 0.6667 0.3333 0.3334
Pt8 Pt 0.6667 0.3333 0.6666
```

## Properties
- ΔH_f (0 K) (eV per atom) = -0.64
- total magnetic moment (μB per formula unit) = 0.00
- D(E_F) (states/eV/atom) = 0.22
- space group = P-6m2, No. 187
- calculated total energy (eV per atom) = -5.1183
- volume (Å³/atom) = 26.6
- crystal system = hexagonal

Material: BaPd3Pt
Method: DFT, GGA-PBE
State: relaxed

CIF file:
```
data_BaPd3Pt
_chemical_formula_sum 'Ba1 Pd3 Pt1'
_symmetry_space_group_name_H-M 'P 1'
_symmetry_Int_Tables_number 1
_cell_length_a 5.0287
_cell_length_b 5.0287
_cell_length_c 5.0287
_cell_angle_alpha 90.00
_cell_angle_beta 90.00
_cell_angle_gamma 90.00
loop_
_symmetry_equiv_pos_as_xyz
'x,y,z'
loop_
_atom_site_label
_atom_site_type_symbol
_atom_site_fract_x
_atom_site_fract_y
_atom_site_fract_z
Ba1 Ba 0.0000 0.0000 0.0000
Pd1 Pd 0.0000 0.5000 0.5000
Pd2 Pd 0.5000 0.0000 0.5000
Pd3 Pd 0.5000 0.5000 0.0000
Pt1 Pt 0.5000 0.5000 0.5000
```

## Properties
- ΔH_f (0 K) (eV per atom) = 0.10
- distance to the lowest polymorph of the same formula (eV/f.u.) = 2.163
- total magnetic moment (μB per formula unit) = 0.00
- D(E_F) (states/eV/atom) = 1.42
- space group = Pm-3m, No. 221
- calculated total energy (eV per atom) = -4.6093
- volume (Å³/atom) = 25.4
- crystal system = cubic

Material: Ba3Pd7Pt2
Method: DFT, GGA-PBE
State: relaxed

CIF file:
```
data_Ba3Pd7Pt2
_chemical_formula_sum 'Ba3 Pd7 Pt2'
_symmetry_space_group_name_H-M 'P 1'
_symmetry_Int_Tables_number 1
_cell_length_a 9.5911
_cell_length_b 9.5911
_cell_length_c 9.5911
_cell_angle_alpha 34.64
_cell_angle_beta 34.64
_cell_angle_gamma 34.64
loop_
_symmetry_equiv_pos_as_xyz
'x,y,z'
loop_
_atom_site_label
_atom_site_type_symbol
_atom_site_fract_x
_atom_site_fract_y
_atom_site_fract_z
Ba1 Ba 0.0000 0.0000 0.0000
Ba2 Ba 0.1393 0.1393 0.1393
Ba3 Ba 0.8607 0.8607 0.8607
Pd1 Pd 0.0796 0.5806 0.5806
Pd2 Pd 0.4194 0.4194 0.9204
Pd3 Pd 0.4194 0.9204 0.4194
Pd4 Pd 0.5000 0.5000 0.5000
Pd5 Pd 0.5806 0.0796 0.5806
Pd6 Pd 0.5806 0.5806 0.0796
Pd7 Pd 0.9204 0.4194 0.4194
Pt1 Pt 0.3325 0.3325 0.3325
Pt2 Pt 0.6675 0.6675 0.6675
```

## Properties
- ΔH_f (0 K) (eV per atom) = -0.45
- total magnetic moment (μB per formula unit) = 0.00
- D(E_F) (states/eV/atom) = 0.79
- space group = R-3m, No. 166
- calculated total energy (eV per atom) = -4.9715
- volume (Å³/atom) = 21.2
- crystal system = trigonal

Material: BaPd2Pt2
Method: DFT, GGA-PBE
State: relaxed

CIF file:
```
data_BaPd2Pt2
_chemical_formula_sum 'Ba2 Pd4 Pt4'
_symmetry_space_group_name_H-M 'P 1'
_symmetry_Int_Tables_number 1
_cell_length_a 8.0553
_cell_length_b 8.0553
_cell_length_c 3.0010
_cell_angle_alpha 90.00
_cell_angle_beta 90.00
_cell_angle_gamma 90.00
loop_
_symmetry_equiv_pos_as_xyz
'x,y,z'
loop_
_atom_site_label
_atom_site_type_symbol
_atom_site_fract_x
_atom_site_fract_y
_atom_site_fract_z
Ba1 Ba 0.0000 0.0000 0.0000
Ba2 Ba 0.5000 0.5000 0.0000
Pd1 Pd 0.1254 0.3746 0.0000
Pd2 Pd 0.3746 0.8746 0.0000
Pd3 Pd 0.6254 0.1254 0.0000
Pd4 Pd 0.8746 0.6254 0.0000
Pt1 Pt 0.1716 0.6716 0.5000
Pt2 Pt 0.3284 0.1716 0.5000
Pt3 Pt 0.6716 0.8284 0.5000
Pt4 Pt 0.8284 0.3284 0.5000
```

## Properties
- ΔH_f (0 K) (eV per atom) = -0.18
- distance to the lowest polymorph of the same formula (eV/f.u.) = 0.454
- total magnetic moment (μB per formula unit) = 0.00
- D(E_F) (states/eV/atom) = 1.34
- space group = P4/mbm, No. 127
- calculated total energy (eV per atom) = -5.0620
- volume (Å³/atom) = 19.5
- crystal system = tetragonal

Material: BaPdPt3
Method: DFT, GGA-PBE
State: relaxed

CIF file:
```
data_BaPdPt3
_chemical_formula_sum 'Ba1 Pd1 Pt3'
_symmetry_space_group_name_H-M 'P 1'
_symmetry_Int_Tables_number 1
_cell_length_a 5.2918
_cell_length_b 5.2918
_cell_length_c 5.2918
_cell_angle_alpha 90.00
_cell_angle_beta 90.00
_cell_angle_gamma 90.00
loop_
_symmetry_equiv_pos_as_xyz
'x,y,z'
loop_
_atom_site_label
_atom_site_type_symbol
_atom_site_fract_x
_atom_site_fract_y
_atom_site_fract_z
Ba1 Ba 0.0000 0.0000 0.0000
Pd1 Pd 0.5000 0.5000 0.5000
Pt1 Pt 0.0000 0.0000 0.5000
Pt2 Pt 0.0000 0.5000 0.0000
Pt3 Pt 0.5000 0.0000 0.0000
```

## Properties
- ΔH_f (0 K) (eV per atom) = 1.84
- distance to the lowest polymorph of the same formula (eV/f.u.) = 7.803
- total magnetic moment (μB per formula unit) = 0.00
- D(E_F) (states/eV/atom) = 0.98
- space group = Pm-3m, No. 221
- calculated total energy (eV per atom) = -3.2078
- volume (Å³/atom) = 29.6
- crystal system = cubic

Which of these has the lowest volume?
BaPd2Pt2